[1]
Below is La4Pr5Cd after structural relaxation, with properties calculated at the GGA-PBE level.

Results
Its total DFT energy (no corrections) is -4.511 eV/atom. For the energy of formation, the calculation gives -5.7 kJ/mol of atoms. As for the energy above the lowest structure with this stoichiometry: 0.0 meV per atom.

Lattice parameters (Å, degrees): 3.7553 3.7553 24.9532 90.00 90.00 90.00
Last column: nearest neighbours and their distance in Å.
Atoms (fractional coordinates):
La  0.0000  0.0000  0.1048  8 Pr 3.72-3.73, 4 La 3.76
La  0.0000  0.0000  0.3144  8 Pr 3.69-3.73, 4 La 3.76
La  0.0000  0.0000  0.6856  8 Pr 3.69-3.73, 4 La 3.76
La  0.0000  0.0000  0.8952  8 Pr 3.72-3.73, 4 La 3.76
Pr  0.5000  0.5000  0.0000  8 La 3.73, 4 Pr 3.76
Pr  0.5000  0.5000  0.2093  8 La 3.72-3.73, 4 Pr 3.76
Pr  0.5000  0.5000  0.4172  4 Cd 3.36, 4 La 3.69, 4 Pr 3.76
Pr  0.5000  0.5000  0.5828  4 Cd 3.36, 4 La 3.69, 4 Pr 3.76
Pr  0.5000  0.5000  0.7907  8 La 3.72-3.73, 4 Pr 3.76
Cd  0.0000  0.0000  0.5000  8 Pr 3.36, 4 Cd 3.76

[2]
Below is LaPr7Cd3 after structural relaxation, with properties calculated at the GGA-PBE level.

Results
Its total DFT energy (no corrections) is -3.724 eV/atom. For the energy of formation, the calculation gives 1.4 kJ/mol of atoms.

Lattice parameters (Å, degrees): 8.4345 8.4345 8.4345 138.41 105.27 89.35
Last column: nearest neighbours and their distance in Å.
Atoms (fractional coordinates):
La  0.0000  0.0000  0.0000  4 Pr 2.99-3.32
Pr  0.0000  0.5000  0.5000  2 La 2.99, 2 Cd 3.23
Pr  0.1071  0.2868  0.8203  4 Cd 3.15-3.52, 2 Pr 3.44
Pr  0.3243  0.0000  0.3243  4 Cd 3.30-3.49, 1 La 3.32, 1 Pr 3.60
Pr  0.4664  0.2868  0.1797  4 Cd 3.15-3.52, 2 Pr 3.44
Pr  0.5336  0.7132  0.8203  4 Cd 3.15-3.52, 2 Pr 3.44
Pr  0.6757  0.0000  0.6757  4 Cd 3.30-3.49, 1 La 3.32, 1 Pr 3.60
Pr  0.8929  0.7132  0.1797  4 Cd 3.15-3.52, 2 Pr 3.44
Cd  0.2692  0.7692  0.5000  9 Pr 3.23-3.52
Cd  0.5000  0.5000  0.0000  8 Pr 3.15-3.49
Cd  0.7308  0.2308  0.5000  9 Pr 3.23-3.52

| no. | total magnetization (μB/atom) | mass density (g cm⁻³) |
| --- | --- | --- |
| 1 | 0.0000 | 6.48 |
| 2 | 0.0109 | 6.60 |